[1]
Density functional theory data (GGA-PBE) for Pr4Nd8Dy3 after structural relaxation.

a = 6.908 Å, b = 9.423 Å, c = 9.423 Å
α = 82.24°, β = 111.66°, γ = 111.66°
Last column: magnetic moment on the atom in μB.
Sites, in units of the cell vectors:
Pr1 0.500 0.000 0.000  0.07
Pr2 0.000 0.500 0.000  0.00
Pr3 0.000 0.000 0.000  0.08
Pr4 0.000 0.000 0.500  0.00
Nd1 0.750 0.751 0.751  0.01
Nd2 0.500 0.751 0.249  0.01
Nd3 0.000 0.298 0.702  0.00
Nd4 0.201 0.699 0.699  0.00
Nd5 0.799 0.301 0.301  0.00
Nd6 0.000 0.702 0.298  0.00
Nd7 0.500 0.249 0.751  0.01
Nd8 0.250 0.249 0.249  0.01
Dy1 0.500 0.000 0.500  0.00
Dy2 0.500 0.500 0.500  0.00
Dy3 0.500 0.500 0.000  0.00

Output
distance to the lowest polymorph of the same formula = 193 meV per atom
spin magnetization = 0.32 μB/f.u.
electronic total energy = -4.43 eV/atom
E_form = 0.31 eV/atom

[2]
Density functional theory data (GGA-PBE) for LiAcHg2S4 after structural relaxation.

a = 6.847 Å, b = 6.391 Å, c = 6.391 Å
α = 74.97°, β = 57.61°, γ = 57.61°
Sites, in units of the cell vectors:
S1 0.480 0.125 0.479
S2 0.520 0.521 0.875
S3 0.085 0.875 0.521
S4 0.915 0.479 0.125
Hg1 0.212 0.288 0.288
Hg2 0.788 0.712 0.712
Li1 0.500 0.500 0.500
Ac1 0.000 0.000 0.000

Output
uncorrected formation energy = -0.920 eV per atom
spin magnetization = 0.00 μB/f.u.
electronic total energy = -3.81 eV/atom

[3]
Density functional theory data (GGA-PBE) for Np2ZnIr after structural relaxation.

a = 3.741 Å, b = 3.741 Å, c = 5.683 Å
α = 90.00°, β = 90.00°, γ = 90.00°
Last column: magnetic moment on the atom in μB.
Sites, in units of the cell vectors:
Ir1 0.500 0.500 0.000  -0.36
Np1 0.000 0.000 0.251  3.77
Np2 0.000 0.000 0.749  3.77
Zn1 0.500 0.500 0.500  0.01

Output
spin magnetization = 7.50 μB/f.u.
electronic total energy = -9.00 eV/atom
E_form = 0.00 eV/atom

[4]
Density functional theory data (GGA-PBE) for RhIBr after structural relaxation.

a = 3.912 Å, b = 3.912 Å, c = 6.170 Å
α = 90.00°, β = 90.00°, γ = 120.00°
Sites, in units of the cell vectors:
I1 0.333 0.667 0.566
Rh1 0.667 0.333 0.330
Br1 0.000 0.000 0.104

Output
uncorrected formation energy = -0.100 eV per atom
distance to the lowest polymorph of the same formula = 48 meV per atom
spin magnetization = 0.00 μB/f.u.
electronic total energy = -3.62 eV/atom

[5]
Density functional theory data (GGA-PBE) for Ca2NdMg5 after structural relaxation.

a = 5.436 Å, b = 5.436 Å, c = 8.586 Å
α = 108.46°, β = 108.46°, γ = 90.00°
Sites, in units of the cell vectors:
Mg1 0.617 0.117 0.233
Mg2 0.883 0.383 0.767
Mg3 0.500 0.500 0.000
Mg4 0.383 0.883 0.767
Mg5 0.117 0.617 0.233
Ca1 0.745 0.745 0.490
Ca2 0.255 0.255 0.510
Nd1 0.000 0.000 0.000

Output
spin magnetization = 0.00 μB/f.u.
electronic total energy = -2.17 eV/atom
E_form = -0.08 eV/atom

[6]
Density functional theory data (GGA-PBE) for Tb after structural relaxation.

a = 3.478 Å, b = 5.612 Å, c = 5.612 Å
α = 119.99°, β = 90.00°, γ = 90.00°
Sites, in units of the cell vectors:
Tb1 0.500 0.667 0.333
Tb2 0.000 0.000 0.000
Tb3 0.500 0.333 0.667

Output
distance to the lowest polymorph of the same formula = 65 meV per atom
spin magnetization = 0.00 μB/f.u.
electronic total energy = -4.57 eV/atom
E_form = 0.07 eV/atom

[7]
Density functional theory data (GGA-PBE) for TaHPd after structural relaxation.

a = 4.632 Å, b = 2.988 Å, c = 2.988 Å
α = 120.00°, β = 90.00°, γ = 90.00°
Sites, in units of the cell vectors:
H1 0.293 0.333 0.667
Ta1 0.091 0.000 0.000
Pd1 0.616 0.667 0.333

Output
distance to the lowest polymorph of the same formula = 0 meV per atom
spin magnetization = 0.00 μB/f.u.
electronic total energy = -7.01 eV/atom

[8]
Density functional theory data (GGA-PBE) for Ca3SiIr2 after structural relaxation.

a = 7.802 Å, b = 8.937 Å, c = 9.440 Å
α = 90.00°, β = 121.05°, γ = 90.00°
Sites, in units of the cell vectors:
Si1 0.447 0.210 0.506
Si2 0.053 0.710 0.994
Si3 0.947 0.290 0.006
Si4 0.553 0.790 0.494
Ca1 0.758 0.185 0.396
Ca2 0.093 0.437 0.348
Ca3 0.593 0.063 0.848
Ca4 0.459 0.533 0.237
Ca5 0.907 0.563 0.652
Ca6 0.541 0.467 0.763
Ca7 0.959 0.967 0.737
Ca8 0.742 0.685 0.104
Ca9 0.407 0.937 0.152
Ca10 0.242 0.815 0.604
Ca11 0.041 0.033 0.263
Ca12 0.258 0.315 0.896
Ir1 0.713 0.760 0.786
Ir2 0.287 0.240 0.214
Ir3 0.784 0.817 0.411
Ir4 0.787 0.260 0.714
Ir5 0.213 0.740 0.286
Ir6 0.284 0.683 0.911
Ir7 0.716 0.317 0.089
Ir8 0.216 0.183 0.589

Output
uncorrected formation energy = -0.462 eV per atom
spin magnetization = 0.00 μB/f.u.
electronic total energy = -5.32 eV/atom

- Among the records above, which one has the lowest electronic total energy?
  Np2ZnIr